# 1
Material: SbIrPt2
Method: DFT, PBE
State: optimized geometry

Geometry as POSCAR:
```
SbIrPt2
1.0
3.459 0.000 0.000
0.000 3.459 0.000
0.000 0.000 5.715
Ir Sb Pt
1 1 2
direct
0.500 0.500 0.757
0.000 0.000 0.509
0.000 0.000 0.001
0.500 0.500 0.233
```

SG: P4mm



# 2
Material: ZrTaTe4
Method: DFT, PBE
State: optimized geometry

Geometry as POSCAR:
```
ZrTaTe4
1.0
-3.566 -0.433 -1.311
2.391 -1.979 -5.850
-0.030 -13.419 4.517
Te Ta Zr
8 2 2
direct
0.000 0.341 0.127
0.500 0.159 0.373
0.500 0.841 0.627
0.500 0.175 0.870
0.000 0.675 0.370
0.500 0.825 0.130
0.000 0.659 0.873
0.000 0.325 0.630
0.500 0.500 0.000
0.000 0.000 0.500
0.500 0.500 0.500
0.000 0.000 0.000
```

Offset from the most stable computed form (eV per formula unit): 0.00
SG: C2/m



# 3
Material: ScGeRu2
Method: DFT, PBE
State: optimized geometry

Geometry as POSCAR:
```
ScGeRu2
1.0
-0.150 0.933 -2.991
-1.844 -2.447 -0.671
-4.997 3.406 1.314
Ru Ge Sc
2 1 1
direct
0.000 0.000 0.228
0.000 0.000 0.772
0.500 0.500 0.000
0.500 0.500 0.500
```

Formation energy (eV per atom): -0.49
SG: P4/mmm



| no. | DOS at the Fermi energy (states/eV/f.u.) | energy (eV per cell) | M_tot (μB per cell) |
| --- | --- | --- | --- |
| 1 | 4.20 | -24.7 | 0.00 |
| 2 | 2.87 | -73.0 | 0.00 |
| 3 | 3.07 | -31.5 | 0.00 |